[1]
Below is a geometry-optimized In2Bi2Te structure, with properties calculated at the PBE level.

## Properties
Space-group type = P4/mbm, No. 127
Magnetization = 0.00 μB per formula unit
VASP energy = -3.147 eV/atom
Raw formation energy = 129.1 meV per atom

Cell: 9.7497 9.7497 3.3154 Å, 90.00 90.00 90.00°
Last column: nearest neighbours and their distance in Å.
Fractional positions:
1 In 0.1776 0.3224 0.0000  6 Bi 3.25-3.38, 2 In 3.32, 2 Te 3.59
2 In 0.3224 0.8224 0.0000  6 Bi 3.25-3.38, 2 In 3.32, 2 Te 3.59
3 In 0.6776 0.1776 0.0000  6 Bi 3.25-3.38, 2 In 3.32, 2 Te 3.59
4 In 0.8224 0.6776 0.0000  6 Bi 3.25-3.38, 2 In 3.32, 2 Te 3.59
5 Bi 0.1194 0.6194 0.5000  6 In 3.25-3.38, 3 Bi 3.29-3.32
6 Bi 0.3806 0.1194 0.5000  6 In 3.25-3.38, 3 Bi 3.29-3.32
7 Bi 0.6194 0.8806 0.5000  6 In 3.25-3.38, 3 Bi 3.29-3.32
8 Bi 0.8806 0.3806 0.5000  6 In 3.25-3.38, 3 Bi 3.29-3.32
9 Te 0.0000 0.0000 0.0000  2 Te 3.32, 4 In 3.59
10 Te 0.5000 0.5000 0.0000  2 Te 3.32, 4 In 3.59



[2]
Below is a geometry-optimized In4BiTe2 structure, with properties calculated at the PBE level.

## Properties
Space-group type = P-1, No. 2
Magnetization = 0.00 μB per formula unit
VASP energy = -3.122 eV/atom
Raw formation energy = -105.4 meV per atom

Cell: 8.4980 8.5066 8.5154 Å, 108.74 108.70 110.81°
Last column: nearest neighbours and their distance in Å.
Fractional positions:
1 In 0.1112 0.1781 0.4315  3 Te 3.14-3.17, 2 Bi 3.20-3.45
2 In 0.2530 0.8201 0.9311  3 Te 3.14-3.17, 2 Bi 3.19-3.44
3 In 0.3200 0.7527 0.4309  3 Te 3.14-3.17, 2 Bi 3.19-3.44
4 In 0.3220 0.3886 0.0683  3 Te 3.14-3.17, 2 Bi 3.20-3.46
5 In 0.6780 0.6114 0.9317  3 Te 3.14-3.17, 2 Bi 3.20-3.46
6 In 0.6800 0.2473 0.5691  3 Te 3.14-3.17, 2 Bi 3.19-3.44
7 In 0.7470 0.1799 0.0689  3 Te 3.14-3.17, 2 Bi 3.19-3.44
8 In 0.8888 0.8219 0.5685  3 Te 3.14-3.17, 2 Bi 3.20-3.45
9 Bi 0.3753 0.1240 0.7493  8 In 3.19-3.46
10 Bi 0.6247 0.8760 0.2507  8 In 3.19-3.46
11 Te 0.0000 0.0000 0.0000  6 In 3.14-3.17
12 Te 0.0000 0.5000 0.0000  6 In 3.14-3.17
13 Te 0.0000 0.5000 0.5000  6 In 3.14-3.17
14 Te 0.5000 0.5000 0.5000  6 In 3.14-3.17



[3]
Below is a geometry-optimized InBiTe structure, with properties calculated at the PBE level.

## Properties
Space-group type = I4mm, No. 107
Magnetization = 0.00 μB per formula unit
VASP energy = -3.240 eV/atom
Raw formation energy = 14.1 meV per atom

Cell: 6.4778 6.4778 6.4778 Å, 143.33 143.33 52.83°
Last column: nearest neighbours and their distance in Å.
Fractional positions:
1 In 0.0000 0.0000 0.0000  5 Bi 3.58-3.64, 5 Te 3.60-3.63
2 Bi 0.3089 0.3089 0.0000  4 Te 3.20
3 Te 0.6896 0.6896 0.0000  4 Bi 3.20